First-principles (PBE with a Hubbard U) data for a relaxed structure of MgMn2Br6O12, as listed in Alexandria.

## Properties
Total DFT energy (no corrections) = -89.08 eV per formula unit

Lattice parameters (Å, degrees): 18.210 8.955 5.936 90.00 98.30 90.00
Space group C2/m (No. 12)
Symmetry-distinct sites (fractional):
Mg  0.000  0.000  0.000 [2 per cell]
Mn  0.192  0.500  0.364 [4 per cell]
Br  0.112  0.186  0.810 [8 per cell]
Br  0.164  0.500  0.964 [4 per cell]
O  0.068  0.000  0.685 [4 per cell]
O  0.080  0.167  0.067 [8 per cell]
O  0.160  0.346  0.453 [8 per cell]
O  0.218  0.000  0.594 [4 per cell]